! Re3BOs | Alexandria via LeMat-Bulk | GGA-PBE | relaxed; values from VASP
&SYSTEM
  ibrav = 0, nat = 5, ntyp = 3
/
ATOMIC_SPECIES
Re 186.21 Re.upf
B 10.81 B.upf
Os 190.23 Os.upf
CELL_PARAMETERS angstrom
-3.7514 0.9020 -1.3438
-0.4360 -3.8302 -1.3536
-1.5586 -1.0995 3.6131
ATOMIC_POSITIONS angstrom
Re -0.2180 -1.9151 -0.6768
Re -0.7793 -0.5497 1.8065
Re -1.8757 0.4510 -0.6719
B 0.0000 0.0000 0.0000
Os -2.8730 -2.0138 0.4578
! M_tot = 0.0 μB per cell
! E above lowest polymorph = 81.1 kJ/mol of formula units
! ΔE_f = 0.266 eV per atom

---

! LiPuAg2O6 | Alexandria via LeMat-Bulk | GGA-PBE | relaxed; values from VASP
&SYSTEM
  ibrav = 0, nat = 20, ntyp = 4
/
ATOMIC_SPECIES
Li 6.94 Li.upf
Pu 244.00 Pu.upf
Ag 107.87 Ag.upf
O 16.00 O.upf
CELL_PARAMETERS angstrom
5.3423 0.1418 0.1471
1.9444 6.9882 0.3722
1.9444 0.1130 6.9972
ATOMIC_POSITIONS angstrom
Li 3.2799 6.4806 0.9322
Li 5.9511 0.7623 6.5843
Pu 3.2799 1.8489 5.3954
Pu 5.9511 5.3940 2.1211
Ag 3.0553 5.8232 4.7350
Ag 3.5046 2.6561 1.4483
Ag 6.1757 1.4197 2.7815
Ag 5.7265 4.5869 6.0682
O 4.4341 6.9408 5.9813
O 2.1258 1.4520 0.2852
O 4.7969 0.3021 1.5352
O 7.1052 5.7909 7.2313
O 4.2781 6.1427 2.7658
O 2.2817 4.6358 1.2019
O 4.9529 1.1002 4.7507
O 6.9493 2.6071 6.3146
O 6.6784 5.1433 3.9851
O 5.2237 3.5221 2.3026
O 2.5526 2.0996 3.5314
O 4.0073 3.7208 5.2139
! M_tot = 1.6 μB per cell
! E_form (uncorrected) = -1.283 eV per atom

---

! YCd2Mo | Alexandria via LeMat-Bulk | GGA-PBE | relaxed; values from VASP
&SYSTEM
  ibrav = 0, nat = 4, ntyp = 3
/
ATOMIC_SPECIES
Cd 112.41 Cd.upf
Mo 95.94 Mo.upf
Y 88.91 Y.upf
CELL_PARAMETERS angstrom
-0.3924 3.7827 -5.5822
-4.5336 -1.5459 2.4888
-0.8300 2.9831 0.3422
ATOMIC_POSITIONS angstrom
Cd 0.0000 0.0000 0.0000
Cd -0.6112 3.3829 -2.6200
Mo -2.6818 0.7186 1.4155
Y -2.4630 1.1184 -1.5467
! M_tot = 0.0 μB per cell
! E above lowest polymorph = 18.3 kJ/mol of formula units
! ΔE_f = 0.245 eV per atom

---

! SnH3Pd | Alexandria via LeMat-Bulk | GGA-PBE | relaxed; values from VASP
&SYSTEM
  ibrav = 0, nat = 5, ntyp = 3
/
ATOMIC_SPECIES
H 1.01 H.upf
Sn 118.71 Sn.upf
Pd 106.42 Pd.upf
CELL_PARAMETERS angstrom
3.8978 0.0000 0.0000
0.0000 3.8978 0.0000
0.0000 0.0000 3.8978
ATOMIC_POSITIONS angstrom
H 0.0000 1.9489 0.0000
H 0.0000 0.0000 1.9489
H 1.9489 0.0000 0.0000
Sn 0.0000 0.0000 0.0000
Pd 1.9489 1.9489 1.9489
! M_tot = 0.0 μB per cell
! E above lowest polymorph = 246.1 kJ/mol of formula units